(1)
Compound: CsAcBi2
Source: the Alexandria database
Functional: PBE
Structure: relaxed

The structure belongs to space group R-3m (No. 166, hexagonal axes); the cell edges are 5.2508, 5.2508 and 25.6592 Å and the angles 90.00°, 90.00° and 120.00°. The inequivalent atoms are Cs at (0.0000, 0.0000, 0.0000), Ac at (0.0000, 0.0000, 0.5000) and Bi at (0.0000, 0.0000, 0.2271).

The excess energy over the best structure of this formula in the dataset comes out at 212.1 meV per atom. The total energy is -3.58 eV per atom. Its formation energy is -0.398 eV per atom.

---

(2)
Compound: CaYTiAs2
Source: the Alexandria database
Functional: PBE
Structure: relaxed

The structure belongs to space group P4/mmm (No. 123); the cell edges are 5.030, 5.030 and 4.792 Å and the angles 90.00°, 90.00° and 90.00°. The inequivalent atoms are Ca at (0.000, 0.000, 0.000), Y at (0.500, 0.500, 0.000), Ti at (0.000, 0.000, 0.500) and As at (0.000, 0.500, 0.500).

The excess energy over the best structure of this formula in the dataset comes out at 0.0 meV per atom. The total energy is -5.19 eV per atom. Its formation energy is -0.054 eV per atom.

---

Question: Number 1 is which compound?
Answer: CsAcBi2